Record 1
Material: MgAlSi
Method: DFT, meta-GGA SCAN
State: single point on PBEsol structure

It has space group Pnma (No. 62), with a = 6.594 Å, b = 4.022 Å, c = 7.942 Å, α = 90.00°, β = 90.00° and γ = 90.00°. The asymmetric unit holds Mg at (0.035, 0.250, 0.173), Al at (0.141, 0.250, 0.566) and Si at (0.240, 0.750, 0.378).

The total energy is -0.5595 Ry/atom. Its uncorrected formation energy is -0.032 eV/atom. The value obtained for the energy relative to the lowest polymorph listed for this composition is 0 meV per atom.

---

Record 2
Material: MgAlSi
Method: DFT, meta-GGA SCAN
State: single point on PBEsol structure

It has space group Imm2 (No. 44), with a = 2.967 Å, b = 3.689 Å, c = 9.487 Å, α = 90.00°, β = 90.00° and γ = 90.00°. The asymmetric unit holds Mg at (0.000, 0.000, 0.000), Al at (0.000, 0.000, 0.310) and Si at (0.000, 0.000, 0.678).

The total energy is -0.5454 Ry/atom. Its uncorrected formation energy is 0.160 eV/atom. The value obtained for the energy relative to the lowest polymorph listed for this composition is 192 meV per atom.

---

Record 3
Material: MgAlSi
Method: DFT, meta-GGA SCAN
State: single point on PBEsol structure

It has space group I4mm (No. 107), with a = 2.977 Å, b = 2.977 Å, c = 11.619 Å, α = 90.00°, β = 90.00° and γ = 90.00°. The asymmetric unit holds Mg at (0.000, 0.000, 0.000), Al at (0.000, 0.000, 0.315) and Si at (0.000, 0.000, 0.668).

The total energy is -0.5456 Ry/atom. Its uncorrected formation energy is 0.157 eV/atom. The value obtained for the energy relative to the lowest polymorph listed for this composition is 190 meV per atom.

---

Record 4
Material: Mg4AlSi
Method: DFT, meta-GGA SCAN
State: single point on PBEsol structure

It has space group F-43m (No. 216), with a = 7.918 Å, b = 7.918 Å, c = 7.918 Å, α = 90.00°, β = 90.00° and γ = 90.00°. The asymmetric unit holds Mg at (0.125, 0.125, 0.125), Al at (0.250, 0.250, 0.750) and Si at (0.000, 0.000, 0.500).

The total energy is -0.4348 Ry/atom. Its uncorrected formation energy is 0.361 eV/atom.

---

Record 5
Material: SmMg16Al12
Method: DFT, meta-GGA SCAN
State: single point on PBEsol structure

It has space group I-43m (No. 217), with a = 10.485 Å, b = 10.485 Å, c = 10.485 Å, α = 90.00°, β = 90.00° and γ = 90.00°. The asymmetric unit holds Sm at (0.000, 0.000, 0.000), Mg at (0.039, 0.358, 0.642), Mg at (0.180, 0.180, 0.180) and Al at (0.091, 0.091, 0.722).

The calculation puts the calculated formation energy at -0.078 eV per atom. The total energy is -0.5558 Ry/atom.

---

Record 6
Material: MgAl2Sn
Method: DFT, meta-GGA SCAN
State: single point on PBEsol structure

It has space group I-42d (No. 122), with a = 7.981 Å, b = 7.981 Å, c = 5.638 Å, α = 90.00°, β = 90.00° and γ = 90.00°. The asymmetric unit holds Mg at (0.000, 0.000, 0.000), Al at (0.226, 0.750, 0.625) and Sn at (0.000, 0.000, 0.500).

The calculation puts the calculated formation energy at 0.234 eV per atom. The total energy is -1.0191 Ry/atom.

---

Record 7
Material: Mg2AlSn2
Method: DFT, meta-GGA SCAN
State: single point on PBEsol structure

It has space group I4/mmm (No. 139), with a = 4.649 Å, b = 4.649 Å, c = 12.066 Å, α = 90.00°, β = 90.00° and γ = 90.00°. The asymmetric unit holds Mg at (0.000, 0.500, 0.250), Al at (0.000, 0.000, 0.000) and Sn at (0.000, 0.000, 0.388).

The calculation puts the calculated formation energy at 0.202 eV per atom. The total energy is -1.3014 Ry/atom.

---

Record 8
Material: Sr2MgAl
Method: DFT, meta-GGA SCAN
State: single point on PBEsol structure

It has space group Imm2 (No. 44), with a = 3.812 Å, b = 5.718 Å, c = 11.772 Å, α = 90.00°, β = 90.00° and γ = 90.00°. The asymmetric unit holds Sr at (0.000, 0.000, 0.000), Sr at (0.000, 0.500, 0.200), Mg at (0.000, 0.000, 0.422) and Al at (0.000, 0.500, 0.740).

The calculation puts the calculated formation energy at -0.055 eV per atom. The total energy is -1.0565 Ry/atom.

---

Record 9
Material: SrMgAl
Method: DFT, meta-GGA SCAN
State: single point on PBEsol structure

It has space group I4mm (No. 107), with a = 3.647 Å, b = 3.647 Å, c = 12.295 Å, α = 90.00°, β = 90.00° and γ = 90.00°. The asymmetric unit holds Sr at (0.000, 0.000, 0.000), Mg at (0.000, 0.000, 0.704) and Al at (0.000, 0.000, 0.320).

The calculation puts the calculated formation energy at -0.009 eV per atom. The total energy is -0.8581 Ry/atom.

---

Record 10
Material: SrMgAl
Method: DFT, meta-GGA SCAN
State: single point on PBEsol structure

It has space group P-6m2 (No. 187), with a = 5.0577 Å, b = 5.0577 Å, c = 3.7700 Å, α = 90.00°, β = 90.00° and γ = 120.00°. The asymmetric unit holds Sr at (0.0000, 0.0000, 0.0000), Mg at (0.6667, 0.3333, 0.5000) and Al at (0.3333, 0.6667, 0.5000).

The calculation puts the calculated formation energy at -0.115 eV per atom. The total energy is -0.8660 Ry/atom.

---

Record 11
Material: Sr2MgAl
Method: DFT, meta-GGA SCAN
State: single point on PBEsol structure

It has space group Pm (No. 6), with a = 4.099 Å, b = 5.084 Å, c = 6.773 Å, α = 90.00°, β = 107.53° and γ = 90.00°. The asymmetric unit holds Sr at (0.000, 0.000, 0.000), Sr at (0.306, 0.500, 0.615), Mg at (0.709, 0.000, 0.420) and Al at (0.589, 0.500, 0.178).

The calculation puts the calculated formation energy at -0.072 eV per atom. The total energy is -1.0578 Ry/atom.

---

Record 12
Material: SrMg2Al
Method: DFT, meta-GGA SCAN
State: single point on PBEsol structure

It has space group C2/m (No. 12), with a = 6.462 Å, b = 11.221 Å, c = 3.210 Å, α = 90.00°, β = 115.47° and γ = 90.00°. The asymmetric unit holds Sr at (0.000, 0.000, 0.000), Mg at (0.250, 0.250, 0.500) and Al at (0.000, 0.500, 0.000).

The calculation puts the calculated formation energy at 0.149 eV per atom. The total energy is -0.7236 Ry/atom.

---

Record 13
Material: Sr2MgAl
Method: DFT, meta-GGA SCAN
State: single point on PBEsol structure

It has space group P4/mmm (No. 123), with a = 3.902 Å, b = 3.902 Å, c = 8.463 Å, α = 90.00°, β = 90.00° and γ = 90.00°. The asymmetric unit holds Sr at (0.000, 0.000, 0.229), Mg at (0.500, 0.500, 0.500) and Al at (0.500, 0.500, 0.000).

The calculation puts the calculated formation energy at -0.081 eV per atom. The total energy is -1.0584 Ry/atom.

---

Record 14
Material: Sr2MgAl
Method: DFT, meta-GGA SCAN
State: single point on PBEsol structure

It has space group P4mm (No. 99), with a = 3.825 Å, b = 3.825 Å, c = 9.191 Å, α = 90.00°, β = 90.00° and γ = 90.00°. The asymmetric unit holds Sr at (0.000, 0.000, 0.000), Sr at (0.500, 0.500, 0.372), Mg at (0.500, 0.500, 0.747) and Al at (0.000, 0.000, 0.607).

The calculation puts the calculated formation energy at 0.009 eV per atom. The total energy is -1.0518 Ry/atom.

---

Record 15
Material: Mg2TaAl
Method: DFT, meta-GGA SCAN
State: single point on PBEsol structure

It has space group P4mm (No. 99), with a = 2.864 Å, b = 2.864 Å, c = 9.128 Å, α = 90.00°, β = 90.00° and γ = 90.00°. The asymmetric unit holds Mg at (0.000, 0.000, 0.000), Mg at (0.500, 0.500, 0.282), Ta at (0.000, 0.000, 0.534) and Al at (0.500, 0.500, 0.752).

The calculation puts the calculated formation energy at 0.030 eV per atom. The total energy is -1.5465 Ry/atom. The value obtained for the energy relative to the lowest polymorph listed for this composition is 0 meV per atom.

---

Record 16
Material: MgTaAl
Method: DFT, meta-GGA SCAN
State: single point on PBEsol structure

It has space group P3m1 (No. 156), with a = 4.5456 Å, b = 4.5456 Å, c = 2.8847 Å, α = 90.00°, β = 90.00° and γ = 120.00°. The asymmetric unit holds Mg at (0.0000, 0.0000, 0.0000), Ta at (0.3333, 0.6667, 0.5004) and Al at (0.6667, 0.3333, 0.0018).

The calculation puts the calculated formation energy at 0.164 eV per atom. The total energy is -1.9310 Ry/atom. The value obtained for the energy relative to the lowest polymorph listed for this composition is 0 meV per atom.

---

Record 17
Material: MgTa2Al
Method: DFT, meta-GGA SCAN
State: single point on PBEsol structure

It has space group Cmmm (No. 65), with a = 5.621 Å, b = 8.766 Å, c = 2.804 Å, α = 90.00°, β = 90.00° and γ = 90.00°. The asymmetric unit holds Mg at (0.000, 0.000, 0.000), Ta at (0.250, 0.250, 0.500) and Al at (0.000, 0.500, 0.000).

The calculation puts the calculated formation energy at 0.040 eV per atom. The total energy is -2.6778 Ry/atom. The value obtained for the energy relative to the lowest polymorph listed for this composition is 39 meV per atom.

---

Record 18
Material: MgTa2Al
Method: DFT, meta-GGA SCAN
State: single point on PBEsol structure

It has space group P4/mmm (No. 123), with a = 2.835 Å, b = 2.835 Å, c = 8.682 Å, α = 90.00°, β = 90.00° and γ = 90.00°. The asymmetric unit holds Mg at (0.000, 0.000, 0.000), Ta at (0.500, 0.500, 0.273) and Al at (0.000, 0.000, 0.500).

The calculation puts the calculated formation energy at 0.001 eV per atom. The total energy is -2.6806 Ry/atom. The value obtained for the energy relative to the lowest polymorph listed for this composition is 0 meV per atom.

---

Record 19
Material: MgTa2Al
Method: DFT, meta-GGA SCAN
State: single point on PBEsol structure

It has space group P2/m (No. 10), with a = 2.806 Å, b = 4.400 Å, c = 5.613 Å, α = 90.00°, β = 93.24° and γ = 90.00°. The asymmetric unit holds Mg at (0.000, 0.000, 0.000), Ta at (0.490, 0.500, 0.745) and Al at (0.000, 0.000, 0.500).

The calculation puts the calculated formation energy at 0.042 eV per atom. The total energy is -2.6777 Ry/atom. The value obtained for the energy relative to the lowest polymorph listed for this composition is 40 meV per atom.

---

Record 20
Material: MgTaAl
Method: DFT, meta-GGA SCAN
State: single point on PBEsol structure

It has space group Imm2 (No. 44), with a = 2.841 Å, b = 3.808 Å, c = 9.765 Å, α = 90.00°, β = 90.00° and γ = 90.00°. The asymmetric unit holds Mg at (0.000, 0.000, 0.000), Ta at (0.000, 0.000, 0.682) and Al at (0.000, 0.000, 0.333).

The calculation puts the calculated formation energy at 0.169 eV per atom. The total energy is -1.9306 Ry/atom. The value obtained for the energy relative to the lowest polymorph listed for this composition is 5 meV per atom.

---

Record 21
Material: Mg2TaAl
Method: DFT, meta-GGA SCAN
State: single point on PBEsol structure

It has space group Pmmm (No. 47), with a = 3.041 Å, b = 4.769 Å, c = 4.984 Å, α = 90.00°, β = 90.00° and γ = 90.00°. The asymmetric unit holds Mg at (0.000, 0.000, 0.000), Mg at (0.500, 0.500, 0.000), Ta at (0.000, 0.500, 0.500) and Al at (0.500, 0.000, 0.500).

The calculation puts the calculated formation energy at 0.183 eV per atom. The total energy is -1.5352 Ry/atom. The value obtained for the energy relative to the lowest polymorph listed for this composition is 153 meV per atom.

---

Record 22
Material: Mg3Ta2Al18
Method: DFT, meta-GGA SCAN
State: single point on PBEsol structure

It has space group Fd-3m (No. 227, origin choice 2), with a = 14.738 Å, b = 14.738 Å, c = 14.738 Å, α = 90.00°, β = 90.00° and γ = 90.00°. The asymmetric unit holds Mg at (0.000, 0.000, 0.000), Mg at (0.125, 0.125, 0.125), Ta at (0.000, 0.000, 0.500), Al at (0.017, 0.375, 0.875) and Al at (0.059, 0.059, 0.323).

The calculation puts the calculated formation energy at -0.144 eV per atom. The total energy is -0.9297 Ry/atom.

---

Record 23
Material: MgAl2Tc
Method: DFT, meta-GGA SCAN
State: single point on PBEsol structure

It has space group P4/mmm (No. 123), with a = 3.236 Å, b = 3.236 Å, c = 5.953 Å, α = 90.00°, β = 90.00° and γ = 90.00°. The asymmetric unit holds Mg at (0.000, 0.000, 0.000), Al at (0.500, 0.500, 0.285) and Tc at (0.000, 0.000, 0.500).

The calculation puts the calculated formation energy at -0.338 eV per atom. The total energy is -1.0453 Ry/atom.

---

Record 24
Material: MgAlTc2
Method: DFT, meta-GGA SCAN
State: single point on PBEsol structure

It has space group Pmmm (No. 47), with a = 3.160 Å, b = 4.280 Å, c = 4.328 Å, α = 90.00°, β = 90.00° and γ = 90.00°. The asymmetric unit holds Mg at (0.000, 0.000, 0.000), Al at (0.500, 0.000, 0.500), Tc at (0.000, 0.500, 0.500) and Tc at (0.500, 0.500, 0.000).

The calculation puts the calculated formation energy at -0.048 eV per atom. The total energy is -1.5258 Ry/atom. The value obtained for the energy relative to the lowest polymorph listed for this composition is 0 meV per atom.

---

Record 25
Material: MgAlTc2
Method: DFT, meta-GGA SCAN
State: single point on PBEsol structure

It has space group Cmmm (No. 65), with a = 5.388 Å, b = 8.346 Å, c = 2.627 Å, α = 90.00°, β = 90.00° and γ = 90.00°. The asymmetric unit holds Mg at (0.000, 0.000, 0.000), Al at (0.000, 0.500, 0.000) and Tc at (0.250, 0.250, 0.500).

The calculation puts the calculated formation energy at 0.058 eV per atom. The total energy is -1.5180 Ry/atom. The value obtained for the energy relative to the lowest polymorph listed for this composition is 105 meV per atom.

---

Record 26
Material: MgAlTc
Method: DFT, meta-GGA SCAN
State: single point on PBEsol structure

It has space group Imm2 (No. 44), with a = 2.721 Å, b = 4.034 Å, c = 8.398 Å, α = 90.00°, β = 90.00° and γ = 90.00°. The asymmetric unit holds Mg at (0.000, 0.000, 0.000), Al at (0.000, 0.000, 0.680) and Tc at (0.000, 0.000, 0.327).

The calculation puts the calculated formation energy at -0.065 eV per atom. The total energy is -1.1755 Ry/atom.